(1)
LiP | SCAN | PBEsol geometry

```
16
Lattice="4.920 0.000 0.000 0.000 5.532 -0.001 0.000 0.748 8.908" Properties=species:S:1:pos:R:3 pbc="T T T"
Li 1.686 1.104 0.262
Li 4.146 2.037 4.191
Li 3.005 5.164 2.921
Li 0.544 3.509 1.530
Li 1.916 1.117 5.985
Li 4.376 2.772 7.376
Li 0.774 4.244 4.715
Li 3.234 5.177 8.644
P 3.222 4.276 5.432
P 0.762 5.145 7.927
P 1.942 3.485 7.069
P 1.698 2.005 3.474
P 4.158 1.135 0.979
P 2.978 2.795 1.837
P 4.402 5.936 6.290
P 0.518 0.345 2.616
```

formation energy from the elements: -600.4 meV/atom
relative energy among the computed polymorphs: 0.0 meV/atom

(2)
Li3PPb | SCAN | PBEsol geometry

```
5
Lattice="4.630 0.000 0.000 0.000 4.630 0.000 0.000 0.000 4.630" Properties=species:S:1:pos:R:3 pbc="T T T"
Li 2.315 0.000 0.000
Li 0.000 0.000 2.315
Li 0.000 2.315 0.000
P 0.000 0.000 0.000
Pb 2.315 2.315 2.315
```

formation energy from the elements: -292.9 meV/atom

(3)
LiP2PtPb | SCAN | PBEsol geometry

```
5
Lattice="-2.673 4.053 -1.388 -4.286 -2.136 2.016 1.031 2.245 4.570" Properties=species:S:1:pos:R:3 pbc="T T T"
Pt -1.336 2.027 -0.694
Li -2.964 2.081 2.599
P -2.143 -1.068 1.008
P 0.516 1.123 2.285
Pb 0.000 0.000 0.000
```

formation energy from the elements: 1087.6 meV/atom

(4)
Li2P2Pd | SCAN | PBEsol geometry

```
10
Lattice="4.058 0.000 0.000 0.000 5.984 0.000 0.000 0.000 5.984" Properties=species:S:1:pos:R:3 pbc="T T T"
Pd 0.000 0.000 0.000
Pd 0.000 2.992 2.992
P 0.000 5.206 3.770
P 0.000 2.214 5.206
P 0.000 0.778 2.214
P 0.000 3.770 0.778
Li 2.029 1.954 1.038
Li 2.029 4.029 4.946
Li 2.029 1.038 4.029
Li 2.029 4.946 1.954
```

formation energy from the elements: -718.7 meV/atom

(5)
LiPPd3 | SCAN | PBEsol geometry

```
5
Lattice="4.436 0.000 0.000 0.000 4.436 0.000 0.000 0.000 4.436" Properties=species:S:1:pos:R:3 pbc="T T T"
Pd 2.218 0.000 0.000
Pd 0.000 2.218 0.000
Pd 0.000 0.000 2.218
P 0.000 0.000 0.000
Li 2.218 2.218 2.218
```

formation energy from the elements: -343.8 meV/atom

(6)
LiPPt2 | SCAN | PBEsol geometry

```
4
Lattice="-1.052 -2.452 -1.673 2.256 1.287 -3.304 3.045 -1.333 3.003" Properties=species:S:1:pos:R:3 pbc="T T T"
Pt 1.495 -2.078 -0.859
Pt 4.074 -2.555 -1.782
Li 3.495 -1.931 0.633
P 3.082 -0.349 -1.427
```

formation energy from the elements: -533.7 meV/atom